# 1
VASP calculation (GGA-PBE) on a relaxed TbEr8Sc2 crystal.

Output
- ΔE_f (kJ/mol of formula units) = 133
- offset from the most stable computed form (meV per atom) = 0.0
- size of the total moment (μB per atom) = 0.001
- final energy (eV per cell) = -52.42

Cell and atoms, written as POSCAR:
```
TbEr8Sc2
1.0
-2.656 4.042 7.714
2.656 -4.042 7.714
2.656 4.042 -7.714
Tb Er Sc
1 8 2
direct
0.000 0.000 0.000
0.151 0.857 0.294
0.163 0.663 0.500
0.299 0.500 0.799
0.437 0.143 0.294
0.563 0.857 0.706
0.701 0.500 0.201
0.837 0.337 0.500
0.849 0.143 0.706
0.299 0.299 0.000
0.701 0.701 0.000
```

---

# 2
VASP calculation (GGA-PBE) on a relaxed Pm12SmDy5 crystal.

Output
- ΔE_f (kJ/mol of formula units) = 143
- size of the total moment (μB per atom) = 0.000
- final energy (eV per cell) = -83.26

Cell and atoms, written as POSCAR:
```
Pm12SmDy5
1.0
6.075 -8.541 0.000
6.075 8.541 0.000
-0.003 0.000 5.809
Pm Sm Dy
12 1 5
direct
0.029 0.670 0.996
0.170 0.530 0.504
0.202 0.202 0.464
0.302 0.302 0.965
0.330 0.971 0.004
0.470 0.830 0.496
0.530 0.170 0.504
0.670 0.029 0.996
0.698 0.698 0.035
0.798 0.798 0.536
0.830 0.470 0.496
0.971 0.330 0.004
0.000 0.000 0.000
0.136 0.864 0.500
0.364 0.636 0.000
0.500 0.500 0.500
0.636 0.364 0.000
0.864 0.136 0.500
```

---

# 3
VASP calculation (GGA-PBE) on a relaxed MgAlRu3 crystal.

Output
- ΔE_f (kJ/mol of formula units) = 719
- offset from the most stable computed form (meV per atom) = 645.9
- size of the total moment (μB per atom) = 0.426
- final energy (eV per cell) = -25.71

Cell and atoms, written as POSCAR:
```
MgAlRu3
1.0
4.444 0.000 0.000
0.000 4.444 0.000
0.000 0.000 4.444
Mg Al Ru
1 1 3
direct
0.000 0.000 0.000
0.500 0.500 0.500
0.000 0.000 0.500
0.000 0.500 0.000
0.500 0.000 0.000
```